No. 1
## LiInHg2 (PBE-GGA)

Data for an optimized crystal structure of LiInHg2.

Structure (POSCAR):
```
LiInHg2
1.0
3.674 0.000 0.000
0.000 3.455 -0.041
0.000 3.278 6.977
Hg In Li
2 1 1
Direct
0.000 0.040 0.968
0.000 0.460 0.532
0.500 0.250 0.250
0.500 0.750 0.750
```

Results
Symmetry: No. 10
Formation energy, meV per atom: -201
Uncorrected energy, eV per atom: -1.52

---

No. 2
## AcPrGeRh (PBE-GGA)

Data for an optimized crystal structure of AcPrGeRh.

Structure (POSCAR):
```
AcPrGeRh
1.0
-0.458 -0.142 4.816
-3.629 -3.172 -0.438
6.775 -7.809 0.414
Rh Pr Ge Ac
2 2 2 2
Direct
0.000 0.500 0.352
0.500 0.000 0.648
0.000 0.000 0.500
0.500 0.500 0.500
0.000 0.500 0.125
0.500 0.000 0.875
0.500 0.000 0.171
0.000 0.500 0.829
```

Results
Symmetry: No. 129
Formation energy, meV per atom: -485
Distance to the lowest polymorph of the same formula, meV/atom: 30.4
Uncorrected energy, eV per atom: -5.70

---

No. 3
## Si2HgAsW (PBE-GGA)

Data for an optimized crystal structure of Si2HgAsW.

Structure (POSCAR):
```
Si2HgAsW
1.0
4.858 0.000 0.000
0.000 5.175 0.000
0.000 0.000 4.858
Si W As Hg
2 1 1 1
Direct
0.500 0.000 0.000
0.000 0.000 0.500
0.500 0.500 0.500
0.000 0.500 0.000
0.000 0.000 0.000
```

Results
Symmetry: No. 123
Uncorrected formation energy, meV/atom: 2033
Uncorrected energy, eV per atom: -3.72